# 1
Entry from the Alexandria database: a relaxed structure of RuW3 (PBEsol).

DFT formation energy, meV per atom: 291.6

abc: 5.5778 7.7368 2.8263
angles: 90.00 90.00 90.00
With the nearest neighbours (Å) after each atom.
Sites, in units of the cell vectors:
Ru1 0.0000 0.0000 0.0000  10 W 2.77-2.79, 2 Ru 2.83
Ru2 0.5000 0.5000 0.0000  10 W 2.77-2.79, 2 Ru 2.83
W1 0.0000 0.5000 0.0000  10 W 2.77-2.83, 2 Ru 2.79
W2 0.2500 0.2500 0.5000  8 W 2.77-2.83, 4 Ru 2.77
W3 0.2500 0.7500 0.5000  8 W 2.77-2.83, 4 Ru 2.77
W4 0.5000 0.0000 0.0000  10 W 2.77-2.83, 2 Ru 2.79
W5 0.7500 0.2500 0.5000  8 W 2.77-2.83, 4 Ru 2.77
W6 0.7500 0.7500 0.5000  4 Ru 2.77, 8 W 2.77-2.83

=====

# 2
Entry from the Alexandria database: a relaxed structure of NaCa3RuO6 (PBEsol).

Uncorrected formation energy, eV per atom: -2.2461

abc: 6.4582 6.4582 6.4582
angles: 90.24 90.24 90.24
With the nearest neighbours (Å) after each atom.
Sites, in units of the cell vectors:
Na1 0.2500 0.2500 0.2500  6 O 2.32
Na2 0.7500 0.7500 0.7500  6 O 2.32
Ca1 0.1069 0.7500 0.3931  6 O 2.38-2.45
Ca2 0.2500 0.6069 0.8931  6 O 2.38-2.45
Ca3 0.3931 0.1069 0.7500  6 O 2.38-2.45
Ca4 0.6069 0.8931 0.2500  6 O 2.38-2.45
Ca5 0.7500 0.3931 0.1069  6 O 2.38-2.45
Ca6 0.8931 0.2500 0.6069  6 O 2.38-2.45
Ru1 0.0000 0.0000 0.0000  6 O 1.96
Ru2 0.5000 0.5000 0.5000  6 O 1.96
O1 0.0589 0.9305 0.7106  1 Ru 1.96
O2 0.0695 0.2894 0.9411  1 Ru 1.96
O3 0.2106 0.4305 0.5589  1 Ru 1.96
O4 0.2894 0.9411 0.0695  1 Ru 1.96
O5 0.4305 0.5589 0.2106  1 Ru 1.96
O6 0.4411 0.7894 0.5695  1 Ru 1.96
O7 0.5589 0.2106 0.4305  1 Ru 1.96
O8 0.5695 0.4411 0.7894  1 Ru 1.96
O9 0.7106 0.0589 0.9305  1 Ru 1.96
O10 0.7894 0.5695 0.4411  1 Ru 1.96
O11 0.9305 0.7106 0.0589  1 Ru 1.96
O12 0.9411 0.0695 0.2894  1 Ru 1.96

=====

# 3
Entry from the Alexandria database: a relaxed structure of TcGe2Cl (PBEsol).

Uncorrected formation energy, eV per atom: 0.7255

abc: 6.4707 6.4707 6.4707
angles: 90.00 90.00 90.00
With the nearest neighbours (Å) after each atom.
Sites, in units of the cell vectors:
Tc1 0.0000 0.0000 0.0000  8 Ge 2.80
Tc2 0.0000 0.5000 0.5000  8 Ge 2.80
Tc3 0.5000 0.0000 0.5000  8 Ge 2.80
Tc4 0.5000 0.5000 0.0000  8 Ge 2.80
Ge1 0.2500 0.2500 0.2500  4 Cl 2.80, 4 Tc 2.80
Ge2 0.2500 0.2500 0.7500  4 Cl 2.80, 4 Tc 2.80
Ge3 0.2500 0.7500 0.2500  4 Cl 2.80, 4 Tc 2.80
Ge4 0.2500 0.7500 0.7500  4 Cl 2.80, 4 Tc 2.80
Ge5 0.7500 0.2500 0.2500  4 Cl 2.80, 4 Tc 2.80
Ge6 0.7500 0.2500 0.7500  4 Cl 2.80, 4 Tc 2.80
Ge7 0.7500 0.7500 0.2500  4 Cl 2.80, 4 Tc 2.80
Ge8 0.7500 0.7500 0.7500  4 Cl 2.80, 4 Tc 2.80
Cl1 0.0000 0.0000 0.5000  8 Ge 2.80
Cl2 0.0000 0.5000 0.0000  8 Ge 2.80
Cl3 0.5000 0.0000 0.0000  8 Ge 2.80
Cl4 0.5000 0.5000 0.5000  8 Ge 2.80

=====

# 4
Entry from the Alexandria database: a relaxed structure of CdReCl2 (PBEsol).

Uncorrected formation energy, eV per atom: 1.0537

abc: 4.2927 4.2927 4.1275
angles: 90.00 90.00 90.00
With the nearest neighbours (Å) after each atom.
Sites, in units of the cell vectors:
Cd1 0.0000 0.0000 0.0000  8 Cl 2.98, 4 Re 3.04
Re1 0.5000 0.5000 0.0000  8 Cl 2.98, 4 Cd 3.04
Cl1 0.0000 0.5000 0.5000  4 Cd 2.98, 4 Re 2.98, 4 Cl 3.04
Cl2 0.5000 0.0000 0.5000  4 Cd 2.98, 4 Re 2.98, 4 Cl 3.04

=====

# 5
Entry from the Alexandria database: a relaxed structure of CrIr2W (PBEsol).

DFT formation energy, meV per atom: -199.9

abc: 5.3841 7.5871 2.7073
angles: 90.00 90.00 90.00
With the nearest neighbours (Å) after each atom.
Sites, in units of the cell vectors:
Cr1 0.0000 0.0000 0.0000  8 Ir 2.69, 2 W 2.69, 2 Cr 2.71
Cr2 0.5000 0.5000 0.0000  8 Ir 2.69, 2 W 2.69, 2 Cr 2.71
Ir1 0.2500 0.2500 0.5000  4 Cr 2.69, 4 W 2.69, 4 Ir 2.69-2.71
Ir2 0.2500 0.7500 0.5000  4 Cr 2.69, 4 W 2.69, 4 Ir 2.69-2.71
Ir3 0.7500 0.2500 0.5000  4 Cr 2.69, 4 W 2.69, 4 Ir 2.69-2.71
Ir4 0.7500 0.7500 0.5000  4 Cr 2.69, 4 W 2.69, 4 Ir 2.69-2.71
W1 0.0000 0.5000 0.0000  8 Ir 2.69, 2 Cr 2.69, 2 W 2.71
W2 0.5000 0.0000 0.0000  8 Ir 2.69, 2 Cr 2.69, 2 W 2.71

=====

# 6
Entry from the Alexandria database: a relaxed structure of CsZn3As (PBEsol).

DFT formation energy, meV per atom: 314.5

abc: 5.1449 5.1449 5.1449
angles: 90.00 90.00 90.00
With the nearest neighbours (Å) after each atom.
Sites, in units of the cell vectors:
Cs1 0.0000 0.0000 0.0000  12 Zn 3.64
Zn1 0.0000 0.5000 0.5000  2 As 2.57
Zn2 0.5000 0.0000 0.5000  2 As 2.57
Zn3 0.5000 0.5000 0.0000  2 As 2.57
As1 0.5000 0.5000 0.5000  6 Zn 2.57

=====

# 7
Entry from the Alexandria database: a relaxed structure of HfGa2Cu2 (PBEsol).

DFT formation energy, meV per atom: -262.2

abc: 3.8068 3.8068 10.2639
angles: 90.00 90.00 90.00
With the nearest neighbours (Å) after each atom.
Sites, in units of the cell vectors:
Hf1 0.0000 0.0000 0.0000  8 Ga 2.93, 8 Cu 3.19
Hf2 0.5000 0.5000 0.5000  8 Ga 2.93, 8 Cu 3.19
Ga1 0.0000 0.0000 0.3866  1 Ga 2.33, 4 Cu 2.36
Ga2 0.0000 0.0000 0.6134  1 Ga 2.33, 4 Cu 2.36
Ga3 0.5000 0.5000 0.1134  1 Ga 2.33, 4 Cu 2.36
Ga4 0.5000 0.5000 0.8866  1 Ga 2.33, 4 Cu 2.36
Cu1 0.0000 0.5000 0.2500  4 Ga 2.36
Cu2 0.0000 0.5000 0.7500  4 Ga 2.36
Cu3 0.5000 0.0000 0.2500  4 Ga 2.36
Cu4 0.5000 0.0000 0.7500  4 Ga 2.36

=====

# 8
Entry from the Alexandria database: a relaxed structure of ZnHg5 (PBEsol).

DFT formation energy, meV per atom: 65.2

abc: 6.1129 6.1129 4.2276
angles: 90.00 90.00 120.00
With the nearest neighbours (Å) after each atom.
Sites, in units of the cell vectors:
Zn1 0.0000 0.0000 0.0000  6 Hg 2.82
Hg1 0.0000 0.6948 0.5000  2 Zn 2.82, 4 Hg 3.00
Hg2 0.3052 0.3052 0.5000  2 Zn 2.82, 4 Hg 3.00
Hg3 0.3333 0.6667 0.0000  6 Hg 3.00
Hg4 0.6667 0.3333 0.0000  6 Hg 3.00
Hg5 0.6948 0.0000 0.5000  2 Zn 2.82, 4 Hg 3.00

=====

Quick rundown of DOS(E_F), same order as above: 8.3 0.4 15.0 2.7 6.0 2.5 3.9 1.6 states/eV per cell